(1)
Dy2ThGa | PBE | relaxed

Results
Space-group type: P4/mmm
Magnetic moment in μB/f.u.: 0.001
Polymorph energy (0 for the lowest one) in meV per atom: 89
E_form in meV per atom: -192
E_tot in eV/atom: -5.104

a b c (Å): 4.727 4.777 4.777
angles (deg): 90.00 90.00 90.00
Sites, in units of the cell vectors:
Dy 0.000 0.500 0.000
Dy 0.000 0.000 0.500
Ga 0.500 0.500 0.500
Th 0.500 0.000 0.000


(2)
DyTh2Ga | PBE | relaxed

Results
Space-group type: P4/mmm
Magnetic moment in μB/f.u.: 0.000
Polymorph energy (0 for the lowest one) in meV per atom: 0
E_form in meV per atom: -181
E_tot in eV/atom: -5.798

a b c (Å): 4.888 4.757 4.757
angles (deg): 90.00 90.00 90.00
Sites, in units of the cell vectors:
Dy 0.500 0.500 0.500
Th 0.000 0.500 0.000
Ga 0.500 0.000 0.000
Th 0.000 0.000 0.500


Among the records above, which one has the highest magnetic moment? Dy2ThGa


What is the formula in the first record? Dy2ThGa


What is the formula in the second record? DyTh2Ga


Number 2 is which compound? DyTh2Ga